Entry 1:
SrCo2POs: relaxed, GGA-PBE.

The space group is P4/mmm, No. 123. The value obtained for the energy relative to the elements is 0.220 eV/atom.

extended XYZ file:
```
5
Lattice="4.362 0.000 0.000 0.000 4.479 0.000 0.000 0.000 4.362" Properties=species:S:1:pos:R:3 pbc="T T T"
Os 0.000 2.240 0.000
Co 0.000 0.000 2.181
Co 2.181 0.000 0.000
P 0.000 0.000 0.000
Sr 2.181 2.240 2.181
```

Entry 2:
CeGa6: relaxed, GGA-PBE.

The space group is Im-3m, No. 229. The value obtained for the energy relative to the elements is 0.039 eV/atom. The calculation puts the relative energy among the computed polymorphs at 2.57 eV per formula unit.

extended XYZ file:
```
7
Lattice="6.024 0.000 0.000 -2.008 5.679 0.000 -2.008 -2.840 4.918" Properties=species:S:1:pos:R:3 pbc="T T T"
Ga -1.004 0.710 3.689
Ga 3.012 2.130 1.230
Ga -1.004 2.840 2.459
Ga 1.004 -0.710 3.689
Ga 3.012 0.000 2.459
Ga 1.004 3.549 1.230
Ce 0.000 0.000 0.000
```

Entry 3:
ZnSiNi2: relaxed, GGA-PBE.

The space group is C2/m, No. 12. The formation energy without anion corrections is -1.0 eV/f.u.

extended XYZ file:
```
4
Lattice="-3.147 2.053 1.633 -4.093 0.174 0.008 -0.980 -2.746 3.745" Properties=species:S:1:pos:R:3 pbc="T T T"
Si -2.055 -0.130 1.347
Ni -7.185 2.149 1.698
Ni -4.164 -0.183 2.636
Zn -6.164 -0.390 4.040
```